A relaxed structure of PHS2. Source: Alexandria, functional PBE.

abc: 6.2672 6.2672 6.2672
angles: 33.45 33.45 33.45
Closest atoms and distances in Å follow each position.
Positions (direct):
P1 0.5000 0.5000 0.5000  6 S 2.47
S1 0.9083 0.9083 0.9083  1 H 1.63
S2 0.0917 0.0917 0.0917  1 H 1.63
H1 0.0000 0.0000 0.0000  2 S 1.63

## Properties
Total DFT energy (no corrections) (eV per atom): -4.08
Spin magnetization (Bohr magnetons per cell): 0.0
ΔE to the lowest computed polymorph (eV per formula unit): 1.30
Calculated volume (Å³ per cell): 66.6


A relaxed structure of P2H3S6. Source: Alexandria, functional PBE.

abc: 6.8782 7.5033 14.1980
angles: 53.56 75.98 62.72
Closest atoms and distances in Å follow each position.
Positions (direct):
P1 0.1726 0.7703 0.0850  3 S 2.01-2.11
P2 0.9720 0.2703 0.5850  3 S 2.01-2.11
P3 0.8274 0.2297 0.9150  3 S 2.01-2.11
P4 0.0280 0.7297 0.4150  3 S 2.01-2.11
H1 0.1769 0.8080 0.7355  1 S 1.35
H2 0.6447 0.2500 0.7500  2 S 1.64
H3 0.7204 0.6920 0.7645  1 S 1.35
H4 0.2796 0.3080 0.2355  1 S 1.35
H5 0.8231 0.1920 0.2645  1 S 1.35
H6 0.3553 0.7500 0.2500  2 S 1.64
S1 0.1122 0.0175 0.8802  1 P 2.06
S2 0.5512 0.2905 0.8564  1 H 1.64
S3 0.8277 0.5528 0.8694  1 H 1.35
S4 0.9901 0.5175 0.3802  1 P 2.06
S5 0.7500 0.0528 0.3694  1 H 1.35
S6 0.3020 0.7905 0.3564  1 H 1.64
S7 0.8878 0.9825 0.1198  1 P 2.06
S8 0.4488 0.7095 0.1436  1 H 1.64
S9 0.1723 0.4472 0.1306  1 H 1.35
S10 0.0099 0.4825 0.6198  1 P 2.06
S11 0.2500 0.9472 0.6306  1 H 1.35
S12 0.6980 0.2095 0.6436  1 H 1.64

## Properties
Total DFT energy (no corrections) (eV per atom): -4.23
Spin magnetization (Bohr magnetons per cell): 0.0
Calculated volume (Å³ per cell): 523.5


A relaxed structure of PHS2. Source: Alexandria, functional PBE.

abc: 4.6922 10.0443 8.2611
angles: 90.00 90.00 90.00
Closest atoms and distances in Å follow each position.
Positions (direct):
P1 0.9044 0.0999 0.9024  3 S 2.13-2.16
P2 0.4044 0.9001 0.0976  3 S 2.13-2.16
P3 0.4044 0.4001 0.4024  3 S 2.13-2.16
P4 0.9044 0.5999 0.5976  3 S 2.13-2.16
H1 0.9944 0.1694 0.6098  1 S 1.36
H2 0.4944 0.8306 0.3902  1 S 1.36
H3 0.4944 0.3306 0.1098  1 S 1.36
H4 0.9944 0.6694 0.8902  1 S 1.36
S1 0.1443 0.5721 0.8139  1 H 1.36
S2 0.6443 0.4279 0.1861  1 H 1.36
S3 0.6443 0.9279 0.3139  1 H 1.36
S4 0.1443 0.0721 0.6861  1 H 1.36
S5 0.7067 0.9053 0.9058  2 P 2.13-2.16
S6 0.2067 0.0947 0.0942  2 P 2.13-2.16
S7 0.2067 0.5947 0.4058  2 P 2.13-2.16
S8 0.7067 0.4053 0.5942  2 P 2.13-2.16

## Properties
Total DFT energy (no corrections) (eV per atom): -4.41
Spin magnetization (Bohr magnetons per cell): 0.0
ΔE to the lowest computed polymorph (eV per formula unit): 0.00
Calculated volume (Å³ per cell): 389.3